{"formula": "LaEuPu4", "functional": "PBE-GGA", "state": "optimized geometry", "m_tot_mub_per_fu": 32.34, "final_energy_ev_per_atom": -11.804, "formation_energy_kj_per_mol_atoms": 27, "dos_at_fermi_per_ev_atom": 5.325, "lattice": [[6.404, 0.000, 0.000], [3.202, 5.546, 0.000], [3.202, 1.849, 5.229]], "species": ["La", "Pu", "Eu", "Pu", "Pu", "Pu"], "frac_coords": [[0.000, 0.000, 0.000], [0.625, 0.625, 0.625], [0.250, 0.250, 0.250], [0.125, 0.625, 0.625], [0.625, 0.125, 0.625], [0.625, 0.625, 0.125]]}